Entry 1:
First-principles (PBE) data for a geometry-optimized Sc3Cu4Si2Sn2 structure, as listed in the Open Quantum Materials Database.

mass density: 6.1 Mg/m³
space-group type: Immm (71)
E_tot: -5.27 eV/atom
magnetic moment: 0.00 μB per formula unit

Lattice parameters (Å, degrees): 7.8727 7.8727 7.8727 150.13 129.33 59.94
Fractional coordinates of all 11 atoms:
Sc (0.0000, 0.0000, 0.0000)
Sc (0.3675, 0.8675, 0.5000)
Sc (0.6325, 0.1325, 0.5000)
Cu (0.0085, 0.3155, 0.6929)
Cu (0.3774, 0.6845, 0.6929)
Cu (0.6226, 0.3155, 0.3071)
Cu (0.9915, 0.6845, 0.3071)
Si (0.2163, 0.2163, 0.0000)
Si (0.7837, 0.7837, 0.0000)
Sn (0.2937, 0.5000, 0.7937)
Sn (0.7063, 0.5000, 0.2063)



Entry 2:
First-principles (PBE) data for a geometry-optimized KP2Pd5 structure, as listed in the Open Quantum Materials Database.

mass density: 7.4 Mg/m³
space-group type: Immm (71)
E_tot: -5.20 eV/atom

Lattice parameters (Å, degrees): 6.4620 6.4620 6.4620 143.62 114.61 77.20
Fractional coordinates of all 8 atoms:
K (0.0000, 0.0000, 0.0000)
P (0.2688, 0.7688, 0.5000)
P (0.7312, 0.2312, 0.5000)
Pd (0.1413, 0.3363, 0.8050)
Pd (0.4687, 0.6637, 0.8050)
Pd (0.5000, 0.0000, 0.5000)
Pd (0.5313, 0.3363, 0.1950)
Pd (0.8587, 0.6637, 0.1950)



Entry 3:
First-principles (PBE) data for a geometry-optimized SmB4Pd structure, as listed in the Open Quantum Materials Database.

mass density: 7.4 Mg/m³
space-group type: Immm (71)
E_tot: -6.23 eV/atom
distance to the lowest polymorph of the same formula: 0 meV per atom
magnetic moment: 0.00 μB per formula unit

Lattice parameters (Å, degrees): 5.0597 5.0597 5.0597 143.60 116.16 75.77
Fractional coordinates of all 6 atoms:
Sm (0.0000, 0.0000, 0.0000)
B (0.0694, 0.7443, 0.3251)
B (0.4192, 0.7443, 0.6749)
B (0.5808, 0.2557, 0.3251)
B (0.9306, 0.2557, 0.6749)
Pd (0.5000, 0.5000, 0.0000)



Entry 4:
First-principles (PBE) data for a geometry-optimized SrEr structure, as listed in the Open Quantum Materials Database.

mass density: 5.4 Mg/m³
space-group type: P-6m2 (187)
E_tot: -2.86 eV/atom
distance to the lowest polymorph of the same formula: 0 meV per atom
magnetic moment: 0.64 μB per formula unit

Lattice parameters (Å, degrees): 3.7638 3.7638 6.3347 90.00 90.00 120.00
Fractional coordinates of all 2 atoms:
Sr (0.0000, 0.0000, 0.0000)
Er (0.3333, 0.6667, 0.5000)



Entry 5:
First-principles (PBE) data for a geometry-optimized Hf3CuSb5 structure, as listed in the Open Quantum Materials Database.

mass density: 8.1 Mg/m³
space-group type: P6/mmm (191)
E_tot: -5.89 eV/atom
magnetic moment: 0.00 μB per formula unit

Lattice parameters (Å, degrees): 5.9570 5.9570 8.0719 90.00 90.00 120.00
Fractional coordinates of all 9 atoms:
Hf (0.0000, 0.5000, 0.0000)
Hf (0.5000, 0.0000, 0.0000)
Hf (0.5000, 0.5000, 0.0000)
Cu (0.0000, 0.0000, 0.5000)
Sb (0.0000, 0.0000, 0.0000)
Sb (0.3333, 0.6667, 0.3035)
Sb (0.3333, 0.6667, 0.6965)
Sb (0.6667, 0.3333, 0.3035)
Sb (0.6667, 0.3333, 0.6965)



Entry 6:
First-principles (PBE) data for a geometry-optimized TbNd2Ni9 structure, as listed in the Open Quantum Materials Database.

mass density: 9.2 Mg/m³
space-group type: R-3m (166)
E_tot: -5.69 eV/atom
calculated formation energy: -338.5 meV per atom
magnetic moment: 0.55 μB per formula unit

Lattice parameters (Å, degrees): 8.7089 8.7089 8.7089 33.20 33.20 33.20
Fractional coordinates of all 12 atoms:
Tb (0.0000, 0.0000, 0.0000)
Nd (0.1385, 0.1385, 0.1385)
Nd (0.8615, 0.8615, 0.8615)
Ni (0.0811, 0.5796, 0.5796)
Ni (0.3328, 0.3328, 0.3328)
Ni (0.4204, 0.4204, 0.9189)
Ni (0.4204, 0.9189, 0.4204)
Ni (0.5000, 0.5000, 0.5000)
Ni (0.5796, 0.0811, 0.5796)
Ni (0.5796, 0.5796, 0.0811)
Ni (0.6672, 0.6672, 0.6672)
Ni (0.9189, 0.4204, 0.4204)



Entry 7:
First-principles (PBE) data for a geometry-optimized ErPtW structure, as listed in the Open Quantum Materials Database.

mass density: 13.4 Mg/m³
space-group type: F-43m (216)
E_tot: -6.87 eV/atom
calculated formation energy: 994.1 meV per atom
magnetic moment: 2.83 μB per formula unit

Lattice parameters (Å, degrees): 4.5730 4.5730 4.5730 60.00 60.00 60.00
Fractional coordinates of all 3 atoms:
Er (0.0000, 0.0000, 0.0000)
Pt (0.7500, 0.7500, 0.7500)
W (0.2500, 0.2500, 0.2500)



Entry 8:
First-principles (PBE) data for a geometry-optimized LaTb2Sn2Pb5 structure, as listed in the Open Quantum Materials Database.

mass density: 10.0 Mg/m³
space-group type: Cmmm (65)
E_tot: -4.53 eV/atom
distance to the lowest polymorph of the same formula: 8 meV per atom
magnetic moment: 0.00 μB per formula unit

Lattice parameters (Å, degrees): 13.1035 13.1035 4.7505 90.00 90.00 159.41
Fractional coordinates of all 10 atoms:
La (0.0000, 0.0000, 0.0000)
Tb (0.1876, 0.8124, 0.0000)
Tb (0.8124, 0.1876, 0.0000)
Sn (0.4013, 0.5987, 0.0000)
Sn (0.5987, 0.4013, 0.0000)
Pb (0.0992, 0.9008, 0.5000)
Pb (0.2939, 0.7061, 0.5000)
Pb (0.5000, 0.5000, 0.5000)
Pb (0.7061, 0.2939, 0.5000)
Pb (0.9008, 0.0992, 0.5000)



Entry 9:
First-principles (PBE) data for a geometry-optimized Sb2AuO4 structure, as listed in the Open Quantum Materials Database.

mass density: 7.5 Mg/m³
space-group type: Fd-3m (227)
E_tot: -5.04 eV/atom

Lattice parameters (Å, degrees): 6.8117 6.8117 6.8117 60.00 60.00 60.00
Fractional coordinates of all 14 atoms:
Sb (0.0000, 0.0000, 0.0000)
Sb (0.0000, 0.0000, 0.5000)
Sb (0.0000, 0.5000, 0.0000)
Sb (0.5000, 0.0000, 0.0000)
Au (0.3750, 0.3750, 0.3750)
Au (0.6250, 0.6250, 0.6250)
O (0.1985, 0.7672, 0.7672)
O (0.2328, 0.2328, 0.2328)
O (0.2328, 0.2328, 0.8015)
O (0.2328, 0.8015, 0.2328)
O (0.7672, 0.1985, 0.7672)
O (0.7672, 0.7672, 0.1985)
O (0.7672, 0.7672, 0.7672)
O (0.8015, 0.2328, 0.2328)



Entry 10:
First-principles (PBE) data for a geometry-optimized InCoNiPd structure, as listed in the Open Quantum Materials Database.

mass density: 9.9 Mg/m³
space-group type: F-43m (216)
E_tot: -5.14 eV/atom
distance to the lowest polymorph of the same formula: 0 meV per atom
magnetic moment: 1.65 μB per formula unit

Lattice parameters (Å, degrees): 4.3213 4.3213 4.3213 60.00 60.00 60.00
Fractional coordinates of all 4 atoms:
In (0.0000, 0.0000, 0.0000)
Co (0.2500, 0.2500, 0.2500)
Ni (0.7500, 0.7500, 0.7500)
Pd (0.5000, 0.5000, 0.5000)



Entry 11:
First-principles (PBE) data for a geometry-optimized ZnSb structure, as listed in the Open Quantum Materials Database.

mass density: 7.0 Mg/m³
space-group type: Pmmn (59)
E_tot: -2.52 eV/atom

Lattice parameters (Å, degrees): 3.1994 5.1895 10.7437 90.00 90.00 90.00
Fractional coordinates of all 8 atoms:
Zn (0.2500, 0.2500, 0.0262)
Zn (0.2500, 0.7500, 0.1668)
Zn (0.7500, 0.2500, 0.8332)
Zn (0.7500, 0.7500, 0.9738)
Sb (0.2500, 0.2500, 0.5889)
Sb (0.2500, 0.7500, 0.7429)
Sb (0.7500, 0.2500, 0.2571)
Sb (0.7500, 0.7500, 0.4111)



Entry 12:
First-principles (PBE) data for a geometry-optimized Zr2Pd structure, as listed in the Open Quantum Materials Database.

mass density: 8.0 Mg/m³
space-group type: Pmmn (59)
E_tot: -7.77 eV/atom
calculated formation energy: -343.6 meV per atom
magnetic moment: 0.00 μB per formula unit

Lattice parameters (Å, degrees): 4.8339 8.9654 5.5174 90.00 90.00 90.00
Fractional coordinates of all 12 atoms:
Zr (0.2500, 0.0643, 0.1354)
Zr (0.2500, 0.2500, 0.6282)
Zr (0.2500, 0.4357, 0.1354)
Zr (0.2500, 0.7500, 0.0116)
Zr (0.7500, 0.2500, 0.9884)
Zr (0.7500, 0.5643, 0.8646)
Zr (0.7500, 0.7500, 0.3718)
Zr (0.7500, 0.9357, 0.8646)
Pd (0.2500, 0.5855, 0.5727)
Pd (0.2500, 0.9145, 0.5727)
Pd (0.7500, 0.0855, 0.4273)
Pd (0.7500, 0.4145, 0.4273)



Entry 13:
First-principles (PBE) data for a geometry-optimized La2TlCd structure, as listed in the Open Quantum Materials Database.

mass density: 7.9 Mg/m³
space-group type: P6_3/mmc (194)
E_tot: -3.43 eV/atom
distance to the lowest polymorph of the same formula: 245 meV per atom
magnetic moment: 0.00 μB per formula unit

Lattice parameters (Å, degrees): 5.2048 5.2048 10.6639 90.00 90.00 120.00
Fractional coordinates of all 8 atoms:
La (0.3333, 0.6667, 0.0977)
La (0.3333, 0.6667, 0.4023)
La (0.6667, 0.3333, 0.5977)
La (0.6667, 0.3333, 0.9023)
Tl (0.0000, 0.0000, 0.2500)
Tl (0.0000, 0.0000, 0.7500)
Cd (0.3333, 0.6667, 0.7500)
Cd (0.6667, 0.3333, 0.2500)



Entry 14:
First-principles (PBE) data for a geometry-optimized YTmIn4Au2 structure, as listed in the Open Quantum Materials Database.

mass density: 10.1 Mg/m³
space-group type: Amm2 (38)
E_tot: -4.04 eV/atom
magnetic moment: 0.01 μB per formula unit

Lattice parameters (Å, degrees): 7.2505 5.9093 5.9093 46.07 90.00 90.00
Fractional coordinates of all 8 atoms:
Y (0.0000, 0.0000, 0.0000)
Tm (0.5000, 0.8360, 0.8360)
In (0.2077, 0.2889, 0.2889)
In (0.2939, 0.5474, 0.5474)
In (0.7061, 0.5474, 0.5474)
In (0.7923, 0.2889, 0.2889)
Au (0.0000, 0.7189, 0.7189)
Au (0.5000, 0.1153, 0.1153)



Entry 15:
First-principles (PBE) data for a geometry-optimized Cu2Ag3 structure, as listed in the Open Quantum Materials Database.

mass density: 9.6 Mg/m³
space-group type: C2/m (12)
E_tot: -3.09 eV/atom
calculated formation energy: 95.3 meV per atom
distance to the lowest polymorph of the same formula: 63 meV per atom

Lattice parameters (Å, degrees): 7.3660 7.3660 4.8975 96.63 96.63 141.20
Fractional coordinates of all 10 atoms:
Cu (0.0982, 0.9018, 0.0000)
Cu (0.1977, 0.8023, 0.5000)
Cu (0.8023, 0.1977, 0.5000)
Cu (0.9018, 0.0982, 0.0000)
Ag (0.0000, 0.0000, 0.5000)
Ag (0.2949, 0.7051, 0.0000)
Ag (0.3925, 0.6075, 0.5000)
Ag (0.5000, 0.5000, 0.0000)
Ag (0.6075, 0.3925, 0.5000)
Ag (0.7051, 0.2949, 0.0000)



Entry 16:
First-principles (PBE) data for a geometry-optimized LuBPd2 structure, as listed in the Open Quantum Materials Database.

mass density: 10.6 Mg/m³
space-group type: F-43m (216)
E_tot: -5.46 eV/atom
magnetic moment: 0.00 μB per formula unit

Lattice parameters (Å, degrees): 4.4520 4.4520 4.4520 60.00 60.00 60.00
Fractional coordinates of all 4 atoms:
Lu (0.0000, 0.0000, 0.0000)
B (0.7500, 0.7500, 0.7500)
Pd (0.2500, 0.2500, 0.2500)
Pd (0.5000, 0.5000, 0.5000)



Entry 17:
First-principles (PBE) data for a geometry-optimized ThNpCu structure, as listed in the Open Quantum Materials Database.

mass density: 12.2 Mg/m³
space-group type: F-43m (216)
E_tot: -7.36 eV/atom
calculated formation energy: 608.2 meV per atom
distance to the lowest polymorph of the same formula: 0 meV per atom
magnetic moment: 4.32 μB per formula unit

Lattice parameters (Å, degrees): 4.6824 4.6824 4.6824 60.00 60.00 60.00
Fractional coordinates of all 3 atoms:
Th (0.0000, 0.0000, 0.0000)
Np (0.5000, 0.5000, 0.5000)
Cu (0.7500, 0.7500, 0.7500)



Entry 18:
First-principles (PBE) data for a geometry-optimized LaInHg2 structure, as listed in the Open Quantum Materials Database.

mass density: 10.1 Mg/m³
space-group type: Pnma (62)
E_tot: -2.47 eV/atom
distance to the lowest polymorph of the same formula: 72 meV per atom
magnetic moment: 0.00 μB per formula unit

Lattice parameters (Å, degrees): 9.0833 6.9008 6.8616 90.00 90.00 90.00
Fractional coordinates of all 16 atoms:
La (0.9998, 0.2500, 0.2260)
La (0.0002, 0.7500, 0.7740)
La (0.4998, 0.2500, 0.2740)
La (0.5002, 0.7500, 0.7260)
In (0.0016, 0.2500, 0.7363)
In (0.4984, 0.7500, 0.2363)
In (0.5016, 0.2500, 0.7637)
In (0.9984, 0.7500, 0.2637)
Hg (0.2404, 0.5013, 0.4981)
Hg (0.2404, 0.9987, 0.4981)
Hg (0.2596, 0.0013, 0.9981)
Hg (0.2596, 0.4987, 0.9981)
Hg (0.7404, 0.5013, 0.0019)
Hg (0.7404, 0.9987, 0.0019)
Hg (0.7596, 0.0013, 0.5019)
Hg (0.7596, 0.4987, 0.5019)



Entry 19:
First-principles (PBE) data for a geometry-optimized ZrZnSi structure, as listed in the Open Quantum Materials Database.

mass density: 5.5 Mg/m³
space-group type: F-43m (216)
E_tot: -5.24 eV/atom
magnetic moment: 0.00 μB per formula unit

Lattice parameters (Å, degrees): 4.2948 4.2948 4.2948 60.00 60.00 60.00
Fractional coordinates of all 3 atoms:
Zr (0.0000, 0.0000, 0.0000)
Zn (0.5000, 0.5000, 0.5000)
Si (0.7500, 0.7500, 0.7500)



Entry 20:
First-principles (PBE) data for a geometry-optimized K3In4Au4 structure, as listed in the Open Quantum Materials Database.

mass density: 6.7 Mg/m³
space-group type: I-43m (217)
E_tot: -2.81 eV/atom

Lattice parameters (Å, degrees): 7.5932 7.5932 7.5932 109.47 109.47 109.47
Fractional coordinates of all 11 atoms:
K (0.0000, 0.5000, 0.5000)
K (0.5000, 0.0000, 0.5000)
K (0.5000, 0.5000, 0.0000)
In (0.0000, 0.0000, 0.7237)
In (0.0000, 0.7237, 0.0000)
In (0.2763, 0.2763, 0.2763)
In (0.7237, 0.0000, 0.0000)
Au (0.0000, 0.0000, 0.3634)
Au (0.0000, 0.3634, 0.0000)
Au (0.3634, 0.0000, 0.0000)
Au (0.6366, 0.6366, 0.6366)